Computed, not measured: an optimized crystal structure of Li3PrAl3 at the PBE level of DFT.

Cell lengths 6.7788, 6.7788, 6.7788 Å; angles 90.00, 90.00, 90.00 degrees
Fractional positions:
Li: 0.0000 0.2500 0.5000
Li: 0.0000 0.7500 0.5000
Li: 0.2500 0.5000 0.0000
Li: 0.5000 0.0000 0.2500
Li: 0.5000 0.0000 0.7500
Li: 0.7500 0.5000 0.0000
Pr: 0.0000 0.0000 0.0000
Pr: 0.5000 0.5000 0.5000
Al: 0.0000 0.5000 0.2500
Al: 0.0000 0.5000 0.7500
Al: 0.2500 0.0000 0.5000
Al: 0.5000 0.2500 0.0000
Al: 0.5000 0.7500 0.0000
Al: 0.7500 0.0000 0.5000

Calculated density (g/cm3): 2.587
Magnetization (μB/cell): 0.00
N(E_F) (states/eV/f.u.): 3.343
Symmetry: Pm-3n (223)
DFT formation energy (eV per atom): 0.36